# LiMo3As5 (PBE, relaxed)
data_LiMo3As5
_cell_length_a 5.3499
_cell_length_b 5.3499
_cell_length_c 7.8488
_cell_angle_alpha 90.00
_cell_angle_beta 90.00
_cell_angle_gamma 120.00
_symmetry_space_group_name_H-M 'P 6/m m m'
_symmetry_Int_Tables_number 191
_symmetry_space_group_name_Hall '-P 6 2'
loop_
_atom_site_label
_atom_site_type_symbol
_atom_site_fract_x
_atom_site_fract_y
_atom_site_fract_z
Li1 Li 0.0000 0.0000 0.0000
Mo1 Mo 0.0000 0.5000 0.5000
As1 As 0.0000 0.0000 0.5000
As2 As 0.3333 0.6667 0.2238
# Density (g cm⁻³): 5.7
# Crystal system: hexagonal
# Final energy (eV per atom): -6.376


# LiLuZrNi (PBE, relaxed)
data_LiLuZrNi
_cell_length_a 6.5468
_cell_length_b 6.5468
_cell_length_c 6.5468
_cell_angle_alpha 90.00
_cell_angle_beta 90.00
_cell_angle_gamma 90.00
_symmetry_space_group_name_H-M 'F -4 3 m'
_symmetry_Int_Tables_number 216
_symmetry_space_group_name_Hall 'F -4 2 3'
loop_
_atom_site_label
_atom_site_type_symbol
_atom_site_fract_x
_atom_site_fract_y
_atom_site_fract_z
Li1 Li 0.0000 0.0000 0.0000
Lu1 Lu 0.2500 0.2500 0.7500
Zr1 Zr 0.0000 0.0000 0.5000
Ni1 Ni 0.2500 0.2500 0.2500
# Density (g cm⁻³): 7.9
# Crystal system: cubic
# ΔE to the lowest computed polymorph (eV/f.u.): 0.88


# CsThTe3Au (PBE, relaxed)
data_CsThTe3Au
_cell_length_a 4.5291
_cell_length_b 17.2963
_cell_length_c 11.6778
_cell_angle_alpha 90.00
_cell_angle_beta 90.00
_cell_angle_gamma 90.00
_symmetry_space_group_name_H-M 'C m c m'
_symmetry_Int_Tables_number 63
_symmetry_space_group_name_Hall '-C 2c 2'
loop_
_atom_site_label
_atom_site_type_symbol
_atom_site_fract_x
_atom_site_fract_y
_atom_site_fract_z
Cs1 Cs 0.0000 0.2494 0.2500
Th1 Th 0.0000 0.0000 0.0000
Te1 Te 0.0000 0.0666 0.7500
Te2 Te 0.0000 0.3764 0.5506
Au1 Au 0.0000 0.4659 0.7500
# Density (g cm⁻³): 6.9
# Crystal system: orthorhombic
# Final energy (eV per atom): -4.529


# ReAgW (PBE, relaxed)
data_ReAgW
_cell_length_a 6.1161
_cell_length_b 6.1161
_cell_length_c 6.1161
_cell_angle_alpha 90.00
_cell_angle_beta 90.00
_cell_angle_gamma 90.00
_symmetry_space_group_name_H-M 'F -4 3 m'
_symmetry_Int_Tables_number 216
_symmetry_space_group_name_Hall 'F -4 2 3'
loop_
_atom_site_label
_atom_site_type_symbol
_atom_site_fract_x
_atom_site_fract_y
_atom_site_fract_z
Re1 Re 0.0000 0.0000 0.0000
Ag1 Ag 0.2500 0.2500 0.7500
W1 W 0.2500 0.2500 0.2500
# Density (g cm⁻³): 13.9
# Crystal system: cubic
# ΔE to the lowest computed polymorph (eV/f.u.): 0.00


# LuInNiAu (PBE, relaxed)
data_LuInNiAu
_cell_length_a 6.7161
_cell_length_b 6.7161
_cell_length_c 6.7161
_cell_angle_alpha 90.00
_cell_angle_beta 90.00
_cell_angle_gamma 90.00
_symmetry_space_group_name_H-M 'F -4 3 m'
_symmetry_Int_Tables_number 216
_symmetry_space_group_name_Hall 'F -4 2 3'
loop_
_atom_site_label
_atom_site_type_symbol
_atom_site_fract_x
_atom_site_fract_y
_atom_site_fract_z
Lu1 Lu 0.0000 0.0000 0.0000
In1 In 0.2500 0.2500 0.2500
Ni1 Ni 0.0000 0.0000 0.5000
Au1 Au 0.2500 0.2500 0.7500
# Density (g cm⁻³): 12.0
# Crystal system: cubic
# Final energy (eV per atom): -4.339


# ScZnOs (PBE, relaxed)
data_ScZnOs
_cell_length_a 6.1585
_cell_length_b 6.1585
_cell_length_c 6.1585
_cell_angle_alpha 90.00
_cell_angle_beta 90.00
_cell_angle_gamma 90.00
_symmetry_space_group_name_H-M 'F -4 3 m'
_symmetry_Int_Tables_number 216
_symmetry_space_group_name_Hall 'F -4 2 3'
loop_
_atom_site_label
_atom_site_type_symbol
_atom_site_fract_x
_atom_site_fract_y
_atom_site_fract_z
Sc1 Sc 0.0000 0.0000 0.0000
Zn1 Zn 0.2500 0.2500 0.2500
Os1 Os 0.2500 0.2500 0.7500
# Density (g cm⁻³): 8.5
# Crystal system: cubic
# Final energy (eV per atom): -5.640


# PuTlAgTe3 (PBE, relaxed)
data_PuTlAgTe3
_cell_length_a 4.4322
_cell_length_b 15.3297
_cell_length_c 11.3744
_cell_angle_alpha 90.00
_cell_angle_beta 90.00
_cell_angle_gamma 90.00
_symmetry_space_group_name_H-M 'C m c m'
_symmetry_Int_Tables_number 63
_symmetry_space_group_name_Hall '-C 2c 2'
loop_
_atom_site_label
_atom_site_type_symbol
_atom_site_fract_x
_atom_site_fract_y
_atom_site_fract_z
Pu1 Pu 0.0000 0.0000 0.0000
Tl1 Tl 0.0000 0.2396 0.2500
Ag1 Ag 0.0000 0.4656 0.7500
Te1 Te 0.0000 0.0793 0.7500
Te2 Te 0.0000 0.3648 0.5463
# Density (g cm⁻³): 8.1
# Crystal system: orthorhombic
# Final energy (eV per atom): -5.384


# YTmH2Br4 (PBE, relaxed)
data_YTmH2Br4
_cell_length_a 3.8028
_cell_length_b 3.8028
_cell_length_c 14.7669
_cell_angle_alpha 90.00
_cell_angle_beta 90.00
_cell_angle_gamma 120.00
_symmetry_space_group_name_H-M 'P -6 m 2'
_symmetry_Int_Tables_number 187
_symmetry_space_group_name_Hall 'P -6 2'
loop_
_atom_site_label
_atom_site_type_symbol
_atom_site_fract_x
_atom_site_fract_y
_atom_site_fract_z
Y1 Y 0.0000 0.0000 0.0000
Tm1 Tm 0.0000 0.0000 0.5000
H1 H 0.3333 0.6667 0.0000
H2 H 0.6667 0.3333 0.5000
Br1 Br 0.3333 0.6667 0.3720
Br2 Br 0.6667 0.3333 0.1303
# Density (g cm⁻³): 5.2
# Crystal system: hexagonal
# Final energy (eV per atom): -4.548


# Pm6Sn2As (PBE, relaxed)
data_Pm6Sn2As
_cell_length_a 8.4722
_cell_length_b 8.4722
_cell_length_c 4.2990
_cell_angle_alpha 90.00
_cell_angle_beta 90.00
_cell_angle_gamma 120.00
_symmetry_space_group_name_H-M 'P -6 2 m'
_symmetry_Int_Tables_number 189
_symmetry_space_group_name_Hall 'P -6 -2'
loop_
_atom_site_label
_atom_site_type_symbol
_atom_site_fract_x
_atom_site_fract_y
_atom_site_fract_z
Pm1 Pm 0.0000 0.2549 0.0000
Pm2 Pm 0.0000 0.5963 0.5000
Sn1 Sn 0.3333 0.6667 0.0000
As1 As 0.0000 0.0000 0.5000
# Density (g cm⁻³): 7.3
# Crystal system: hexagonal
# Final energy (eV per atom): -5.273


# ScFeSbAu (PBE, relaxed)
data_ScFeSbAu
_cell_length_a 6.5711
_cell_length_b 6.5711
_cell_length_c 6.5711
_cell_angle_alpha 90.00
_cell_angle_beta 90.00
_cell_angle_gamma 90.00
_symmetry_space_group_name_H-M 'F -4 3 m'
_symmetry_Int_Tables_number 216
_symmetry_space_group_name_Hall 'F -4 2 3'
loop_
_atom_site_label
_atom_site_type_symbol
_atom_site_fract_x
_atom_site_fract_y
_atom_site_fract_z
Sc1 Sc 0.0000 0.0000 0.0000
Fe1 Fe 0.2500 0.2500 0.7500
Sb1 Sb 0.0000 0.0000 0.5000
Au1 Au 0.2500 0.2500 0.2500
# Density (g cm⁻³): 9.8
# Crystal system: cubic
# ΔE to the lowest computed polymorph (eV/f.u.): 0.28


# Cu2Ag (PBE, relaxed)
data_Cu2Ag
_cell_length_a 4.6918
_cell_length_b 8.0863
_cell_length_c 4.6868
_cell_angle_alpha 90.00
_cell_angle_beta 109.94
_cell_angle_gamma 90.00
_symmetry_space_group_name_H-M 'C 1 2/c 1'
_symmetry_Int_Tables_number 15
loop_
_symmetry_equiv_pos_as_xyz
'x,y,z'
'-x,-y,-z'
'-x,y,-z+1/2'
'x,-y,z+1/2'
'x+1/2,y+1/2,z'
'-x+1/2,-y+1/2,-z'
'-x+1/2,y+1/2,-z+1/2'
'x+1/2,-y+1/2,z+1/2'
loop_
_atom_site_label
_atom_site_type_symbol
_atom_site_fract_x
_atom_site_fract_y
_atom_site_fract_z
Cu1 Cu 0.0000 0.0811 0.2500
Cu2 Cu 0.0000 0.2452 0.7500
Ag1 Ag 0.0000 0.4095 0.2500
# Density (g cm⁻³): 9.3
# Crystal system: monoclinic
# ΔE to the lowest computed polymorph (eV/f.u.): 0.15


# NdSi2IrOs (PBE, relaxed)
data_NdSi2IrOs
_cell_length_a 4.1747
_cell_length_b 4.1747
_cell_length_c 10.0002
_cell_angle_alpha 90.00
_cell_angle_beta 90.00
_cell_angle_gamma 90.00
_symmetry_space_group_name_H-M 'I -4 m 2'
_symmetry_Int_Tables_number 119
_symmetry_space_group_name_Hall 'I -4 -2'
loop_
_atom_site_label
_atom_site_type_symbol
_atom_site_fract_x
_atom_site_fract_y
_atom_site_fract_z
Nd1 Nd 0.0000 0.0000 0.0000
Si1 Si 0.0000 0.0000 0.3709
Ir1 Ir 0.0000 0.5000 0.7500
Os1 Os 0.0000 0.5000 0.2500
# Density (g cm⁻³): 11.1
# Crystal system: tetragonal
# Final energy (eV per atom): -8.039